An optimized crystal structure of Fe2TcMo, computed with PBE.

It has space group I4/mmm (No. 139), with a = 3.743 Å, b = 3.743 Å, c = 7.347 Å, α = 90.00°, β = 90.00° and γ = 90.00°. The distinct sites, in fractional coordinates, are Fe at (0.000, 0.500, 0.250), Tc at (0.000, 0.000, 0.000) and Mo at (0.000, 0.000, 0.500).

The calculation puts the formation energy from the elements at 0.12 eV/atom. The calculation puts the density of states at the Fermi level at 1.12 states/eV/atom.